A plane-wave DFT calculation with PBE was carried out for a geometry-optimized PmTm2Pt structure.

Energy above the lowest structure with this stoichiometry = 0.000 eV/atom
Calculated total energy = -90.36 eV for the cell shown
Energy of formation from the pure elements = -275 kJ/mol of formula units
N(E_F) = 16.66 states/eV/cell
Volume = 109.60 Å³/f.u.
SG = Pnma, No. 62

Cell and atoms, written as CIF:
```
data_PmTm2Pt
_space_group_name_H-M_alt 'P 1'
_space_group_IT_number 1
_space_group_name_Hall 'P 1'
_cell_length_a 6.496
_cell_length_b 7.105
_cell_length_c 9.499
_cell_angle_alpha 90.00
_cell_angle_beta 90.00
_cell_angle_gamma 90.00
loop_
_atom_site_label
_atom_site_type_symbol
_atom_site_fract_x
_atom_site_fract_y
_atom_site_fract_z
Pm1 Pm 0.631 0.520 0.250
Pm2 Pm 0.869 0.020 0.250
Pm3 Pm 0.369 0.480 0.750
Pm4 Pm 0.131 0.980 0.750
Tm1 Tm 0.174 0.677 0.062
Tm2 Tm 0.326 0.177 0.438
Tm3 Tm 0.826 0.323 0.562
Tm4 Tm 0.674 0.823 0.938
Tm5 Tm 0.826 0.323 0.938
Tm6 Tm 0.674 0.823 0.562
Tm7 Tm 0.174 0.677 0.438
Tm8 Tm 0.326 0.177 0.062
Pt1 Pt 0.068 0.386 0.250
Pt2 Pt 0.432 0.886 0.250
Pt3 Pt 0.932 0.614 0.750
Pt4 Pt 0.568 0.114 0.750
```

A plane-wave DFT calculation with PBE was carried out for a geometry-optimized As2OsAuBr structure.

Energy above the lowest structure with this stoichiometry = 0.000 eV/atom
Calculated total energy = -21.99 eV for the cell shown
Formation energy without anion corrections = 698 meV/atom
N(E_F) = 2.44 states/eV/cell
Volume = 119.69 Å³/f.u.
SG = P4/mmm, No. 123

Cell and atoms, written as CIF:
```
data_As2OsAuBr
_space_group_name_H-M_alt 'P 1'
_space_group_IT_number 1
_space_group_name_Hall 'P 1'
_cell_length_a 4.707
_cell_length_b 4.707
_cell_length_c 5.401
_cell_angle_alpha 90.00
_cell_angle_beta 90.00
_cell_angle_gamma 90.00
loop_
_atom_site_label
_atom_site_type_symbol
_atom_site_fract_x
_atom_site_fract_y
_atom_site_fract_z
Os1 Os 0.000 0.000 0.000
As1 As 0.000 0.500 0.000
As2 As 0.500 0.000 0.000
Au1 Au 0.500 0.500 0.500
Br1 Br 0.000 0.000 0.500
```

A plane-wave DFT calculation with PBE was carried out for a geometry-optimized PmNpTeN2 structure.

Calculated total energy = -88.19 eV for the cell shown
Formation energy without anion corrections = -1323 meV/atom
N(E_F) = 11.91 states/eV/cell
Volume = 106.25 Å³/f.u.
SG = P2_1/m, No. 11

Cell and atoms, written as CIF:
```
data_PmNpTeN2
_space_group_name_H-M_alt 'P 1'
_space_group_IT_number 1
_space_group_name_Hall 'P 1'
_cell_length_a 4.085
_cell_length_b 6.876
_cell_length_c 7.878
_cell_angle_alpha 106.21
_cell_angle_beta 90.00
_cell_angle_gamma 90.00
loop_
_atom_site_label
_atom_site_type_symbol
_atom_site_fract_x
_atom_site_fract_y
_atom_site_fract_z
Pm1 Pm 0.250 0.680 0.924
Pm2 Pm 0.750 0.320 0.076
Np1 Np 0.250 0.651 0.405
Np2 Np 0.750 0.349 0.595
Te1 Te 0.250 0.049 0.743
Te2 Te 0.750 0.951 0.257
N1 N 0.750 0.519 0.397
N2 N 0.250 0.481 0.603
N3 N 0.750 0.505 0.855
N4 N 0.250 0.495 0.145
```

A plane-wave DFT calculation with PBE was carried out for a geometry-optimized Y4In3Os structure.

Calculated total energy = -48.75 eV for the cell shown
Energy of formation from the pure elements = -332 kJ/mol of formula units
N(E_F) = 3.34 states/eV/cell
Volume = 199.12 Å³/f.u.
SG = P4/mmm, No. 123

Cell and atoms, written as CIF:
```
data_Y4In3Os
_space_group_name_H-M_alt 'P 1'
_space_group_IT_number 1
_space_group_name_Hall 'P 1'
_cell_length_a 3.551
_cell_length_b 3.551
_cell_length_c 15.792
_cell_angle_alpha 90.00
_cell_angle_beta 90.00
_cell_angle_gamma 90.00
loop_
_atom_site_label
_atom_site_type_symbol
_atom_site_fract_x
_atom_site_fract_y
_atom_site_fract_z
Y1 Y 0.000 0.000 0.897
Y2 Y 0.000 0.000 0.103
Y3 Y 0.000 0.000 0.368
Y4 Y 0.000 0.000 0.632
Os1 Os 0.500 0.500 0.000
In1 In 0.500 0.500 0.238
In2 In 0.500 0.500 0.500
In3 In 0.500 0.500 0.762
```

A plane-wave DFT calculation with PBE was carried out for a geometry-optimized KNpBr3 structure.

Calculated total energy = -24.91 eV for the cell shown
Formation energy without anion corrections = -1171 meV/atom
N(E_F) = 17.66 states/eV/cell
Volume = 194.79 Å³/f.u.
SG = Pm-3m, No. 221

Cell and atoms, written as CIF:
```
data_KNpBr3
_space_group_name_H-M_alt 'P 1'
_space_group_IT_number 1
_space_group_name_Hall 'P 1'
_cell_length_a 5.797
_cell_length_b 5.797
_cell_length_c 5.797
_cell_angle_alpha 90.00
_cell_angle_beta 90.00
_cell_angle_gamma 90.00
loop_
_atom_site_label
_atom_site_type_symbol
_atom_site_fract_x
_atom_site_fract_y
_atom_site_fract_z
Np1 Np 0.000 0.000 0.000
K1 K 0.500 0.500 0.500
Br1 Br 0.000 0.500 0.000
Br2 Br 0.000 0.000 0.500
Br3 Br 0.500 0.000 0.000
```

A plane-wave DFT calculation with PBE was carried out for a geometry-optimized TlCuHgBr4 structure.

Calculated total energy = -33.56 eV for the cell shown
Formation energy without anion corrections = -475 meV/atom
Volume = 236.15 Å³/f.u.
SG = P2_1/m, No. 11

Cell and atoms, written as CIF:
```
data_TlCuHgBr4
_space_group_name_H-M_alt 'P 1'
_space_group_IT_number 1
_space_group_name_Hall 'P 1'
_cell_length_a 7.067
_cell_length_b 7.935
_cell_length_c 8.714
_cell_angle_alpha 90.00
_cell_angle_beta 104.87
_cell_angle_gamma 90.00
loop_
_atom_site_label
_atom_site_type_symbol
_atom_site_fract_x
_atom_site_fract_y
_atom_site_fract_z
Tl1 Tl 0.785 0.750 0.919
Tl2 Tl 0.215 0.250 0.081
Cu1 Cu 0.204 0.750 0.272
Cu2 Cu 0.796 0.250 0.728
Hg1 Hg 0.726 0.750 0.355
Hg2 Hg 0.274 0.250 0.645
Br1 Br 0.027 0.481 0.729
Br2 Br 0.973 0.981 0.271
Br3 Br 0.973 0.519 0.271
Br4 Br 0.027 0.019 0.729
Br5 Br 0.401 0.750 0.083
Br6 Br 0.599 0.250 0.917
Br7 Br 0.483 0.750 0.533
Br8 Br 0.517 0.250 0.467
```